The following is a DFT calculation (PBE) of crystalline Y2SnGe3Pt4 at its relaxed geometry.

For the total magnetization, the calculation gives 0.000 Bohr magnetons per cell. The calculation puts the formation energy at -0.8543 eV/atom.

The space group is P-4m2 (No. 115) and the conventional cell measures 4.2511, 4.2511 and 10.8622 Å, with angles of 90.00, 90.00 and 90.00 degrees. The inequivalent atoms are Y at (0.0000, 0.5000, 0.2315), Sn at (0.0000, 0.0000, 0.5000), Ge at (0.0000, 0.5000, 0.8707), Ge at (0.5000, 0.5000, 0.5000), Pt at (0.0000, 0.0000, 0.0000), Pt at (0.0000, 0.5000, 0.6487) and Pt at (0.5000, 0.5000, 0.0000).

The following is a DFT calculation (PBE) of crystalline YH2Cl3 at its relaxed geometry.

For the total magnetization, the calculation gives 0.000 Bohr magnetons per cell. The calculation puts the total energy at -4.607 eV/atom.

The space group is P6_3/mmc (No. 194) and the conventional cell measures 7.5562, 7.5562 and 7.0557 Å, with angles of 90.00, 90.00 and 120.00 degrees. The inequivalent atoms are Y at (0.0000, 0.0000, 0.0000), H at (0.3333, 0.6667, 0.1968) and Cl at (0.1533, 0.3066, 0.7500).

The following is a DFT calculation (PBE) of crystalline ZrHO2F at its relaxed geometry.

For the total magnetization, the calculation gives 0.000 Bohr magnetons per cell. The calculation puts the total energy at -6.357 eV/atom.

The space group is P4/mmm (No. 123) and the conventional cell measures 3.5412, 3.5412 and 3.1709 Å, with angles of 90.00, 90.00 and 90.00 degrees. The inequivalent atoms are Zr at (0.0000, 0.0000, 0.0000), H at (0.5000, 0.5000, 0.5000), O at (0.0000, 0.5000, 0.5000) and F at (0.5000, 0.5000, 0.0000).